DFT (PBE) results for a geometry-optimized Ir2Ru6Pt structure.

Summary:
ΔH_f (0 K) (meV per atom): 182
Volume (Å³ per cell): 262
Total moment (μB per cell): 0.00
Total energy (hartree per atom): -0.3176
Space-group type: C2/c, No. 15

Lattice parameters (Å, degrees): 6.757 7.061 6.757 64.97 86.50 64.97
Atoms (fractional coordinates):
1 Ir 0.421 0.929 0.229
2 Ir 0.771 0.571 0.579
3 Ir 0.579 0.071 0.771
4 Ir 0.229 0.429 0.421
5 Ru 0.407 0.539 0.673
6 Ru 0.327 0.961 0.593
7 Ru 0.593 0.461 0.327
8 Ru 0.673 0.039 0.407
9 Ru 0.925 0.134 0.621
10 Ru 0.379 0.366 0.075
11 Ru 0.075 0.866 0.379
12 Ru 0.621 0.634 0.925
13 Ru 0.205 0.800 0.023
14 Ru 0.977 0.700 0.795
15 Ru 0.795 0.200 0.977
16 Ru 0.023 0.300 0.205
17 Pt 0.841 0.750 0.159
18 Pt 0.159 0.250 0.841